Entry from the Alexandria database: a relaxed structure of Cs3NpPa3Se8 (GGA-PBE).

Cell and atoms, written as POSCAR:
```
Cs3NpPa3Se8
1.0
8.3729 0.0000 0.0000
-4.1864 7.2517 -0.0324
0.0000 -4.7984 8.6611
Se Np Cs Pa
8 1 3 3
Direct
0.7236 0.9554 0.6872
0.2319 0.4638 0.6872
0.7302 0.4603 0.6904
0.2698 0.5397 0.3096
0.2319 0.9554 0.6872
0.7681 0.5362 0.3128
0.7681 0.0446 0.3128
0.2764 0.0446 0.3128
0.0000 0.0000 0.5000
0.0000 0.5000 0.0000
0.5000 0.5000 0.0000
0.0000 0.0000 0.0000
0.5000 0.0000 0.5000
0.5000 0.5000 0.5000
0.0000 0.5000 0.5000
```

Mass density ... 6.2 Mg/m³
VASP energy ... -6.1122 eV/atom